Entry 1:
VASP calculation (PBE) on crystalline Ga2HgWBr at its relaxed geometry.

Geometry as POSCAR:
```
Ga2HgWBr
1.0
5.107 0.000 0.000
0.000 5.107 0.000
0.000 0.000 5.461
Ga Hg W Br
2 1 1 1
direct
0.000 0.500 0.000
0.500 0.000 0.000
0.000 0.000 0.500
0.000 0.000 0.000
0.500 0.500 0.500
```

Output
The calculation puts the raw total energy at -17.65 eV for the cell shown. Its uncorrected formation energy is 0.666 eV per atom.


Entry 2:
VASP calculation (PBE) on crystalline Ho2GaBr3 at its relaxed geometry.

Geometry as POSCAR:
```
Ho2GaBr3
1.0
9.669 -2.008 0.000
9.669 2.008 0.000
-8.574 0.000 9.884
Ho Ga Br
4 2 6
direct
0.114 0.114 0.447
0.374 0.374 0.181
0.626 0.626 0.819
0.886 0.886 0.553
0.067 0.067 0.619
0.933 0.933 0.381
0.178 0.178 0.024
0.252 0.252 0.384
0.456 0.456 0.764
0.544 0.544 0.236
0.748 0.748 0.616
0.822 0.822 0.976
```

Output
The calculation puts the raw total energy at -49.35 eV for the cell shown. Its uncorrected formation energy is -1.245 eV per atom.


Entry 3:
VASP calculation (PBE) on crystalline Ho4GaBr5 at its relaxed geometry.

Geometry as POSCAR:
```
Ho4GaBr5
1.0
9.097 -2.027 0.000
9.097 2.027 0.000
-1.786 0.000 8.147
Ho Ga Br
4 1 5
direct
0.001 0.001 0.226
0.348 0.348 0.921
0.652 0.652 0.079
0.999 0.999 0.774
0.500 0.500 0.000
0.167 0.167 0.330
0.174 0.174 0.840
0.500 0.500 0.500
0.826 0.826 0.160
0.833 0.833 0.670
```

Output
The calculation puts the raw total energy at -43.17 eV for the cell shown. Its uncorrected formation energy is -1.347 eV per atom.